A plane-wave DFT calculation with GGA-PBE was carried out for a relaxed PPdRuC crystal.

a = 2.9863 Å, b = 3.0827 Å, c = 12.6238 Å
α = 90.00°, β = 90.00°, γ = 90.00°
Positions (direct):
Ru  0.0000  0.0000  0.1139
Ru  0.5000  0.5000  0.6139
C  0.0000  0.5000  0.0254
C  0.5000  0.0000  0.5254
Pd  0.0000  0.0000  0.9009
Pd  0.5000  0.5000  0.4009
P  0.0000  0.5000  0.7573
P  0.5000  0.0000  0.2573

## Properties
E_form in eV/atom: 0.274
Calculated volume in Å³/cell: 116


A plane-wave DFT calculation with GGA-PBE was carried out for a relaxed PPdRuC crystal.

a = 6.2726 Å, b = 2.9487 Å, c = 6.0715 Å
α = 90.00°, β = 102.20°, γ = 90.00°
Positions (direct):
Ru  0.9550  0.0000  0.6527
Ru  0.9550  0.5000  0.1527
C  0.8536  0.0000  0.9338
C  0.8536  0.5000  0.4338
Pd  0.5310  0.0000  0.9835
Pd  0.5310  0.5000  0.4835
P  0.2809  0.0000  0.2264
P  0.2809  0.5000  0.7264

## Properties
E_form in eV/atom: 0.254
Calculated volume in Å³/cell: 110


A plane-wave DFT calculation with GGA-PBE was carried out for a relaxed PPdRuC crystal.

a = 2.9934 Å, b = 2.9934 Å, c = 19.2663 Å
α = 90.00°, β = 90.00°, γ = 120.00°
Positions (direct):
Ru  0.0000  0.0000  0.6828
Ru  0.3333  0.6667  0.3495
Ru  0.6667  0.3333  0.0161
C  0.0000  0.0000  0.9579
C  0.3333  0.6667  0.6246
C  0.6667  0.3333  0.2913
Pd  0.0000  0.0000  0.5445
Pd  0.3333  0.6667  0.2111
Pd  0.6667  0.3333  0.8778
P  0.0000  0.0000  0.1111
P  0.3333  0.6667  0.7778
P  0.6667  0.3333  0.4444

## Properties
E_form in eV/atom: 0.294
Calculated volume in Å³/cell: 150


A plane-wave DFT calculation with GGA-PBE was carried out for a relaxed PPdRuC crystal.

a = 5.6312 Å, b = 2.9143 Å, c = 6.5469 Å
α = 90.00°, β = 95.86°, γ = 90.00°
Positions (direct):
Ru  0.0623  0.0000  0.6135
Ru  0.0623  0.5000  0.1135
C  0.1481  0.0000  0.9116
C  0.1481  0.5000  0.4116
Pd  0.4524  0.0000  0.3821
Pd  0.4524  0.5000  0.8821
P  0.7167  0.0000  0.1205
P  0.7167  0.5000  0.6205

## Properties
E_form in eV/atom: 0.279
Calculated volume in Å³/cell: 107


A plane-wave DFT calculation with GGA-PBE was carried out for a relaxed PPdRuC crystal.

a = 3.3441 Å, b = 3.3441 Å, c = 17.7100 Å
α = 90.00°, β = 90.00°, γ = 120.00°
Positions (direct):
Ru  0.0000  0.0000  0.2415
Ru  0.3333  0.6667  0.9082
Ru  0.6667  0.3333  0.5748
C  0.0000  0.0000  0.9161
C  0.3333  0.6667  0.5828
C  0.6667  0.3333  0.2495
Pd  0.0000  0.0000  0.7042
Pd  0.3333  0.6667  0.3709
Pd  0.6667  0.3333  0.0376
P  0.0000  0.0000  0.1112
P  0.3333  0.6667  0.7778
P  0.6667  0.3333  0.4445

## Properties
E_form in eV/atom: 0.103
Calculated volume in Å³/cell: 172


A plane-wave DFT calculation with GGA-PBE was carried out for a relaxed PPdRuC crystal.

a = 3.1012 Å, b = 4.2333 Å, c = 5.3449 Å
α = 83.29°, β = 73.10°, γ = 68.45°
Positions (direct):
Ru  0.1751  0.1663  0.5025
C  0.7835  0.1821  0.2707
Pd  0.4063  0.2199  0.9883
P  0.3942  0.5978  0.6318

## Properties
E_form in eV/atom: 0.313
Calculated volume in Å³/cell: 62


A plane-wave DFT calculation with GGA-PBE was carried out for a relaxed PPdRuC crystal.

a = 3.2831 Å, b = 3.2831 Å, c = 17.8212 Å
α = 90.00°, β = 90.00°, γ = 120.00°
Positions (direct):
Ru  0.0000  0.0000  0.2303
Ru  0.3333  0.6667  0.8970
Ru  0.6667  0.3333  0.5637
C  0.0000  0.0000  0.9316
C  0.3333  0.6667  0.5983
C  0.6667  0.3333  0.2649
Pd  0.0000  0.0000  0.7741
Pd  0.3333  0.6667  0.4407
Pd  0.6667  0.3333  0.1074
P  0.0000  0.0000  0.0337
P  0.3333  0.6667  0.7004
P  0.6667  0.3333  0.3671

## Properties
E_form in eV/atom: 0.260
Calculated volume in Å³/cell: 166


A plane-wave DFT calculation with GGA-PBE was carried out for a relaxed PPdCS2 crystal.

a = 4.7886 Å, b = 4.7886 Å, c = 4.5271 Å
α = 90.00°, β = 90.00°, γ = 90.00°
Positions (direct):
P  0.0000  0.0000  0.5000
S  0.0000  0.5000  0.0000
S  0.5000  0.0000  0.0000
C  0.5000  0.5000  0.5000
Pd  0.0000  0.0000  0.0000

## Properties
Formation energy (no corrections) in eV per atom: 2.013
Calculated volume in Å³/cell: 104


A plane-wave DFT calculation with GGA-PBE was carried out for a relaxed PPdCS2 crystal.

a = 4.1398 Å, b = 4.1398 Å, c = 4.0139 Å
α = 90.00°, β = 90.00°, γ = 90.00°
Positions (direct):
P  0.0000  0.0000  0.5000
S  0.0000  0.5000  0.0000
S  0.5000  0.0000  0.0000
C  0.0000  0.0000  0.0000
Pd  0.5000  0.5000  0.5000

## Properties
Formation energy (no corrections) in eV per atom: 1.166
Calculated volume in Å³/cell: 69


A plane-wave DFT calculation with GGA-PBE was carried out for a relaxed PPdC2S crystal.

a = 3.4050 Å, b = 7.6826 Å, c = 3.4050 Å
α = 90.00°, β = 90.00°, γ = 90.00°
Positions (direct):
P  0.0000  0.0000  0.0000
S  0.0000  0.5000  0.0000
C  0.0000  0.0000  0.5000
C  0.5000  0.0000  0.0000
Pd  0.5000  0.5000  0.5000

## Properties
Formation energy (no corrections) in eV per atom: 1.380
Calculated volume in Å³/cell: 89


A plane-wave DFT calculation with GGA-PBE was carried out for a relaxed P2PdCS crystal.

a = 4.5763 Å, b = 4.5763 Å, c = 4.8760 Å
α = 90.00°, β = 90.00°, γ = 90.00°
Positions (direct):
P  0.0000  0.5000  0.0000
P  0.5000  0.0000  0.0000
S  0.0000  0.0000  0.5000
C  0.5000  0.5000  0.5000
Pd  0.0000  0.0000  0.0000

## Properties
Formation energy (no corrections) in eV per atom: 2.071
Calculated volume in Å³/cell: 102


A plane-wave DFT calculation with GGA-PBE was carried out for a relaxed P2PdCS crystal.

a = 3.9837 Å, b = 3.9837 Å, c = 4.2349 Å
α = 90.00°, β = 90.00°, γ = 90.00°
Positions (direct):
P  0.0000  0.5000  0.0000
P  0.5000  0.0000  0.0000
S  0.0000  0.0000  0.5000
C  0.0000  0.0000  0.0000
Pd  0.5000  0.5000  0.5000

## Properties
Formation energy (no corrections) in eV per atom: 1.043
Calculated volume in Å³/cell: 67


Look up the calculated volume of the second one.
110 Å³/cell